No. 1
The following is a PBE calculation of crystalline ZrSbTe2C at its relaxed geometry, from the Alexandria database.

It has space group P4/mmm (No. 123), with a = 4.762 Å, b = 4.762 Å, c = 4.737 Å, α = 90.00°, β = 90.00° and γ = 90.00°. The asymmetric unit holds Zr at (0.000, 0.000, 0.000), Sb at (0.500, 0.500, 0.000), Te at (0.000, 0.500, 0.500) and C at (0.500, 0.500, 0.500).

The offset from the most stable computed form is 0.00 eV per formula unit. The value obtained for the energy is -24.62 eV per formula unit. Its magnetic moment is 0.000 μB/cell.


No. 2
The following is a PBE calculation of crystalline LiPu5Bi6 at its relaxed geometry, from the Alexandria database.

It has space group P-1 (No. 2), with a = 4.912 Å, b = 8.619 Å, c = 8.922 Å, α = 75.97°, β = 77.82° and γ = 90.00°. The asymmetric unit holds Li at (0.000, 0.000, 0.000), Pu at (0.000, 0.500, 0.000), Pu at (0.337, 0.424, 0.305), Pu at (0.345, 0.926, 0.300), Bi at (0.164, 0.328, 0.685), Bi at (0.165, 0.829, 0.682) and Bi at (0.500, 0.241, 0.000).

Its formation energy is -0.31 eV/atom. The value obtained for the energy is -100.57 eV per formula unit. Its magnetic moment is 6.116 μB/cell.


No. 3
The following is a PBE calculation of crystalline KZr2Cu at its relaxed geometry, from the Alexandria database.

It has space group Pmmm (No. 47), with a = 3.087 Å, b = 5.235 Å, c = 5.913 Å, α = 90.00°, β = 90.00° and γ = 90.00°. The asymmetric unit holds K at (0.000, 0.000, 0.000), Zr at (0.000, 0.500, 0.500), Zr at (0.500, 0.000, 0.500) and Cu at (0.500, 0.500, 0.000).

Its formation energy is 0.75 eV/atom. The offset from the most stable computed form is 2.07 eV per formula unit. The value obtained for the energy is -19.27 eV per formula unit. Its magnetic moment is 0.000 μB/cell.


No. 4
The following is a PBE calculation of crystalline Nb3TlPd at its relaxed geometry, from the Alexandria database.

It has space group Pm-3m (No. 221), with a = 4.883 Å, b = 4.883 Å, c = 4.883 Å, α = 90.00°, β = 90.00° and γ = 90.00°. The asymmetric unit holds Nb at (0.000, 0.000, 0.500), Tl at (0.500, 0.500, 0.500) and Pd at (0.000, 0.000, 0.000).

Its formation energy is 1.12 eV/atom. The offset from the most stable computed form is 0.00 eV per formula unit. The value obtained for the energy is -32.15 eV per formula unit. Its magnetic moment is 0.000 μB/cell.


No. 5
The following is a PBE calculation of crystalline Sb7AuSe12 at its relaxed geometry, from the Alexandria database.

It has space group R-3 (No. 148, hexagonal axes), with a = 14.3922 Å, b = 14.3922 Å, c = 10.0313 Å, α = 90.00°, β = 90.00° and γ = 120.00°. The asymmetric unit holds Sb at (0.0000, 0.0000, 0.0000), Sb at (0.0734, 0.8870, 0.3226), Au at (0.0000, 0.0000, 0.5000), Se at (0.0190, 0.4161, 0.1316) and Se at (0.0463, 0.8710, 0.8513).

The value obtained for the energy is -76.59 eV per formula unit. Its magnetic moment is 0.000 μB/cell.


No. 6
The following is a PBE calculation of crystalline KYCo2Cl8 at its relaxed geometry, from the Alexandria database.

It has space group R-3 (No. 148, hexagonal axes), with a = 6.4554 Å, b = 6.4554 Å, c = 28.7969 Å, α = 90.00°, β = 90.00° and γ = 120.00°. The asymmetric unit holds K at (0.0000, 0.0000, 0.0000), Y at (0.0000, 0.0000, 0.5000), Co at (0.0000, 0.0000, 0.2470), Cl at (0.0000, 0.0000, 0.3229) and Cl at (0.0008, 0.6690, 0.1120).

The value obtained for the energy is -52.53 eV per formula unit. Its magnetic moment is 18.000 μB/cell.